{"formula": "Cr2RePb", "functional": "PBE", "state": "optimized geometry", "formation_enthalpy_0k_kj_per_mol_atoms": 70.8, "energy_ev_per_atom": -8.12, "cell": [[-7.498, -3.847, -3.214], [-7.853, -4.426, -0.299], [-8.726, -1.791, -1.418]], "species": ["Cr", "Cr", "Re", "Pb"], "frac_coords": [[0.001, 0.001, 0.001], [0.265, 0.265, 0.265], [0.735, 0.735, 0.735], [0.500, 0.500, 0.500]]}